[1]
VASP calculation (PBE-GGA) on a relaxed PmPrPb3 crystal.

a = 6.367 Å, b = 6.482 Å, c = 8.428 Å
α = 79.36°, β = 68.64°, γ = 76.48°
Space group P-1 (No. 2)
Unique sites:
Pm  0.185  0.063  0.111 x2
Pr  0.476  0.579  0.727 x2
Pb  0.067  0.740  0.520 x2
Pb  0.096  0.588  0.120 x2
Pb  0.392  0.107  0.685 x2

Calculated values
ΔH_f (0 K)   -399 meV per atom
Uncorrected energy   -4.530 eV/atom

---

[2]
VASP calculation (PBE-GGA) on a relaxed BaDy2ZnO5 crystal.

a = 6.591 Å, b = 6.591 Å, c = 11.580 Å
α = 90.00°, β = 90.00°, γ = 90.00°
Space group I4/mcm (No. 140)
Unique sites:
Ba  0.000  0.000  0.250 x4
Dy  0.175  0.325  0.000 x8
Zn  0.000  0.500  0.250 x4
O  0.000  0.000  0.000 x4
O  0.145  0.355  0.374 x16

Calculated values
Raw formation energy   -2.841 eV per atom
Relative energy among the computed polymorphs   33 meV/atom
Uncorrected energy   -6.973 eV/atom

---

[3]
VASP calculation (PBE-GGA) on a relaxed Tb2DyCd crystal.

a = 3.6010 Å, b = 3.6010 Å, c = 32.2440 Å
α = 90.00°, β = 90.00°, γ = 120.00°
Space group R3m (No. 160, hexagonal axes)
Unique sites:
Tb  0.0000  0.0000  0.0000 x3
Tb  0.0000  0.0000  0.1771 x3
Dy  0.0000  0.0000  0.7553 x3
Cd  0.0000  0.0000  0.5887 x3

Calculated values
ΔH_f (0 K)   -62 meV per atom
Relative energy among the computed polymorphs   83 meV/atom
Uncorrected energy   -3.756 eV/atom

---

[4]
VASP calculation (PBE-GGA) on a relaxed Tl2ZnPdRh crystal.

a = 5.092 Å, b = 5.092 Å, c = 4.627 Å
α = 90.00°, β = 90.00°, γ = 90.00°
Space group P4/mmm (No. 123)
Unique sites:
Tl  0.000  0.500  0.000 x2
Zn  0.000  0.000  0.000 x1
Pd  0.500  0.500  0.500 x1
Rh  0.000  0.000  0.500 x1

Calculated values
ΔH_f (0 K)   749 meV per atom
Uncorrected energy   -2.961 eV/atom

---

[5]
VASP calculation (PBE-GGA) on a relaxed TiSnSe3 crystal.

a = 7.185 Å, b = 3.756 Å, c = 9.716 Å
α = 90.00°, β = 91.05°, γ = 90.00°
Space group P2_1/m (No. 11)
Unique sites:
Ti  0.066  0.250  0.168 x2
Sn  0.447  0.250  0.805 x2
Se  0.080  0.250  0.691 x2
Se  0.218  0.750  0.010 x2
Se  0.351  0.250  0.331 x2

Calculated values
Raw formation energy   -0.776 eV per atom
Relative energy among the computed polymorphs   48 meV/atom
Uncorrected energy   -5.247 eV/atom

---

[6]
VASP calculation (PBE-GGA) on a relaxed Sr2TbAg crystal.

a = 3.833 Å, b = 3.833 Å, c = 9.815 Å
α = 90.00°, β = 90.00°, γ = 90.00°
Space group P4/mmm (No. 123)
Unique sites:
Sr  0.000  0.000  0.206 x2
Tb  0.500  0.500  0.500 x1
Ag  0.500  0.500  0.000 x1

Calculated values
ΔH_f (0 K)   15 meV per atom
Relative energy among the computed polymorphs   0 meV/atom
Uncorrected energy   -2.697 eV/atom

---

[7]
VASP calculation (PBE-GGA) on a relaxed Sc8Ir crystal.

a = 9.511 Å, b = 9.511 Å, c = 4.415 Å
α = 90.00°, β = 90.00°, γ = 90.00°
Space group I4/mmm (No. 139)
Unique sites:
Sc  0.000  0.322  0.000 x8
Sc  0.154  0.154  0.500 x8
Ir  0.000  0.000  0.000 x2

Calculated values
ΔH_f (0 K)   -105 meV per atom
Uncorrected energy   -6.718 eV/atom

---

[8]
VASP calculation (PBE-GGA) on a relaxed Co2AuCl crystal.

a = 2.893 Å, b = 4.382 Å, c = 11.186 Å
α = 90.00°, β = 90.00°, γ = 90.00°
Space group Imm2 (No. 44)
Unique sites:
Co  0.000  0.000  0.000 x2
Co  0.000  0.500  0.332 x2
Au  0.000  0.500  0.878 x2
Cl  0.000  0.000  0.655 x2

Calculated values
Raw formation energy   0.386 eV per atom
Relative energy among the computed polymorphs   197 meV/atom
Uncorrected energy   -4.448 eV/atom

---

[9]
VASP calculation (PBE-GGA) on a relaxed Tl2CuC2O6 crystal.

a = 7.793 Å, b = 10.049 Å, c = 9.378 Å
α = 90.00°, β = 111.04°, γ = 90.00°
Space group P2_1/c (No. 14)
Unique sites:
Tl  0.116  0.215  0.026 x4
Tl  0.275  0.607  0.359 x4
Cu  0.465  0.108  0.427 x4
C  0.144  0.547  0.902 x4
C  0.479  0.117  0.746 x4
O  0.025  0.081  0.658 x4
O  0.196  0.069  0.365 x4
O  0.262  0.628  0.997 x4
O  0.448  0.170  0.858 x4
O  0.459  0.187  0.623 x4
O  0.471  0.008  0.244 x4

Calculated values
Raw formation energy   -1.102 eV per atom
Relative energy among the computed polymorphs   0 meV/atom
Uncorrected energy   -6.286 eV/atom

---

[10]
VASP calculation (PBE-GGA) on a relaxed La7HoEr3 crystal.

a = 6.716 Å, b = 6.922 Å, c = 9.065 Å
α = 110.18°, β = 98.27°, γ = 96.43°
Space group P1 (No. 1)
Unique sites:
La  0.000  0.000  0.000 x1
La  0.041  0.428  0.885 x1
La  0.158  0.711  0.626 x1
La  0.247  0.126  0.471 x1
La  0.361  0.541  0.289 x1
La  0.464  0.798  0.024 x1
La  0.750  0.229  0.306 x1
Ho  0.734  0.991  0.596 x1
Er  0.521  0.247  0.915 x1
Er  0.645  0.538  0.671 x1
Er  0.868  0.689  0.240 x1

Calculated values
ΔH_f (0 K)   67 meV per atom
Relative energy among the computed polymorphs   0 meV/atom
Uncorrected energy   -4.729 eV/atom

---

[11]
VASP calculation (PBE-GGA) on a relaxed BTePO2 crystal.

a = 3.862 Å, b = 3.862 Å, c = 5.395 Å
α = 90.00°, β = 90.00°, γ = 90.00°
Space group P4/mmm (No. 123)
Unique sites:
B  0.000  0.000  0.000 x1
Te  0.500  0.500  0.500 x1
P  0.500  0.500  0.000 x1
O  0.000  0.500  0.500 x2

Calculated values
Raw formation energy   0.659 eV per atom
Relative energy among the computed polymorphs   468 meV/atom
Uncorrected energy   -4.371 eV/atom

---

[12]
VASP calculation (PBE-GGA) on a relaxed Sm4TmTl2 crystal.

a = 13.953 Å, b = 10.959 Å, c = 6.814 Å
α = 90.00°, β = 119.22°, γ = 90.00°
Space group Cm (No. 8)
Unique sites:
Sm  0.000  0.000  0.000 x2
Sm  0.000  0.000  0.472 x2
Sm  0.010  0.500  0.011 x2
Sm  0.010  0.500  0.483 x2
Sm  0.158  0.236  0.395 x4
Sm  0.353  0.236  0.088 x4
Tm  0.227  0.500  0.963 x2
Tm  0.283  0.500  0.520 x2
Tl  0.005  0.250  0.741 x4
Tl  0.255  0.000  0.242 x2
Tl  0.255  0.000  0.742 x2

Calculated values
ΔH_f (0 K)   18 meV per atom
Relative energy among the computed polymorphs   0 meV/atom
Uncorrected energy   -3.994 eV/atom